Entry from Alexandria via LeMat-Bulk: a relaxed CsAs2SeI crystal (PBE-GGA).

a = 7.1807 Å, b = 7.1807 Å, c = 5.8376 Å
α = 90.00°, β = 90.00°, γ = 90.00°
Each line ends with the local moment (μB).
Fractional positions:
As 0.5000 0.0000 0.0000  1.19
As 0.0000 0.5000 0.0000  1.19
Se 0.0000 0.0000 0.5000  -0.14
Cs 0.0000 0.0000 0.0000  0.06
I 0.5000 0.5000 0.5000  -0.19

Results
raw formation energy = 1306 meV per atom
polymorph energy (0 for the lowest one) = 4.10 eV/f.u.
DOS(E_F) = 11.30 states/eV/f.u.
space group = No. 123